Record 1
This record from the Alexandria database describes an optimized crystal structure of MgBe3. The functional is GGA-PBE.

Total moment (μB per formula unit): 0.00
Offset from the most stable computed form (eV/atom): 0.2423
Crystal system: monoclinic
Density of states at the Fermi level (states/eV/atom): 0.20
Raw total energy (eV per formula unit): -11.30

a = 7.571 Å, b = 2.625 Å, c = 4.858 Å
α = 90.00°, β = 99.78°, γ = 90.00°
Space group C2/m (No. 12)
Unique sites:
Mg: 0.000 0.000 0.000
Be: 0.000 0.500 0.500
Be: 0.233 0.000 0.666

=====

Record 2
This record from the Alexandria database describes an optimized crystal structure of Mg4Be. The functional is GGA-PBE.

Total moment (μB per formula unit): 0.00
Offset from the most stable computed form (eV/atom): 0.0460
Crystal system: cubic
Density of states at the Fermi level (states/eV/atom): 0.44
Raw total energy (eV per formula unit): -8.66

a = 4.808 Å, b = 4.808 Å, c = 4.808 Å
α = 90.00°, β = 90.00°, γ = 90.00°
Space group Pm-3m (No. 221)
Unique sites:
Mg: 0.000 0.000 0.000
Mg: 0.000 0.500 0.500
Be: 0.500 0.500 0.500

=====

Record 3
This record from the Alexandria database describes an optimized crystal structure of MgBe3. The functional is GGA-PBE.

Total moment (μB per formula unit): 0.00
Offset from the most stable computed form (eV/atom): 0.3817
Crystal system: trigonal
Density of states at the Fermi level (states/eV/atom): 0.38
Raw total energy (eV per formula unit): -10.74

a = 2.6254 Å, b = 2.6254 Å, c = 23.7369 Å
α = 90.00°, β = 90.00°, γ = 120.00°
Space group R-3m (No. 166, hexagonal axes)
Unique sites:
Mg: 0.0000 0.0000 0.0000
Be: 0.0000 0.0000 0.2369
Be: 0.0000 0.0000 0.5000